8
Lattice="6.394 0.000 0.000 0.000 6.394 0.000 3.197 3.197 6.318" Properties=species:S:1:pos:R:3 comment="PBE-GGA GaBi2Os, relaxed" crystal_system=tetragonal delta_e_f_ev_per_atom=0.77 relative_energy_mev_per_atom=160 sg="I-42d, No. 122" pbc="T T T"
Os 6.394 3.197 3.159
Os 0.000 0.000 0.000
Ga 3.197 3.197 0.000
Ga 3.197 6.394 3.159
Bi 7.993 8.195 4.738
Bi 1.396 4.796 1.579
Bi 4.796 4.593 4.738
Bi 4.998 1.599 1.579

***

11
Lattice="-7.670 0.091 -4.743 -0.511 -5.675 -7.856 -4.641 -3.262 0.590" Properties=species:S:1:pos:R:3 comment="PBE-GGA Nd6Sn5, relaxed" crystal_system=orthorhombic delta_e_f_ev_per_atom=-0.60 sg="Immm, No. 71" pbc="T T T"
Nd -5.779 -2.689 -5.235
Nd -3.107 -0.761 -1.089
Nd -7.042 -6.156 -6.774
Nd -4.291 -4.337 -2.615
Nd -8.531 -4.508 -9.394
Nd -9.204 -2.409 -3.064
Sn -6.155 -1.585 -2.076
Sn -8.949 -3.332 -6.166
Sn -2.709 -1.893 -4.230
Sn -5.472 -3.691 -8.369
Sn -3.873 -5.513 -5.843

***

12
Lattice="6.342 -0.459 -0.227 2.518 5.838 -0.227 0.085 0.052 10.694" Properties=species:S:1:pos:R:3 comment="PBE-GGA CsCu2NiBr8, relaxed" formation_energy_uncorrected_ev_per_atom=-0.503 crystal_system=monoclinic sg="C2/m, No. 12" pbc="T T T"
Ni 0.000 0.000 0.000
Cs 0.042 0.026 5.347
Br 6.853 4.161 10.342
Br 5.583 1.034 1.552
Br 5.860 3.558 4.004
Br 5.452 0.955 8.688
Br 2.092 1.270 -0.102
Br 3.085 1.873 6.236
Br 3.493 4.476 1.552
Br 3.362 4.397 8.688
Cu 3.211 1.950 8.565
Cu 5.734 3.481 1.674

***

12
Lattice="6.215 0.000 0.000 -3.108 5.382 0.000 0.000 0.000 8.999" Properties=species:S:1:pos:R:3 comment="PBE-GGA Ag2Cl, relaxed" formation_energy_uncorrected_ev_per_atom=-0.179 crystal_system=hexagonal relative_energy_mev_per_atom=42 sg="P6_3/mmc, No. 194" pbc="T T T"
Cl 3.108 1.794 0.480
Cl 0.000 3.588 4.980
Cl 0.000 3.588 8.519
Cl 3.108 1.794 4.019
Ag 0.000 1.643 6.750
Ag 1.685 4.561 6.750
Ag 0.000 0.000 0.000
Ag 4.792 0.822 2.250
Ag 1.423 0.822 2.250
Ag 3.108 3.739 2.250
Ag -1.685 4.561 6.750
Ag 0.000 0.000 4.500

***

10
Lattice="-4.268 -0.745 -2.195 -2.950 -4.041 7.106 -2.258 8.240 1.594" Properties=species:S:1:pos:R:3 comment="PBE-GGA BaFe2Cl7, relaxed" formation_energy_uncorrected_ev_per_atom=-1.187 crystal_system=orthorhombic sg="Cmmm, No. 65" pbc="T T T"
Cl -1.530 1.233 2.555
Cl -4.738 1.727 3.253
Cl -6.638 1.601 6.990
Cl -3.016 -1.319 0.939
Cl -6.460 4.773 5.566
Cl -2.837 1.853 -0.485
Cl -3.678 2.966 6.145
Fe -3.628 0.833 1.399
Fe -5.847 2.621 5.106
Ba 0.000 0.000 0.000

***

8
Lattice="-1.597 -2.138 6.887 -7.442 1.189 -2.676 4.696 -6.114 -2.128" Properties=species:S:1:pos:R:3 comment="PBE-GGA PuZrI6, relaxed" formation_energy_uncorrected_ev_per_atom=-0.955 crystal_system=monoclinic sg="C2/m, No. 12" pbc="T T T"
I -1.362 -6.278 1.635
I 0.668 -2.981 0.613
I -2.457 -4.215 -1.749
I -1.887 -2.848 3.832
I -2.982 -0.785 0.448
I -5.012 -4.082 1.470
Pu 0.000 0.000 0.000
Zr -2.172 -3.531 1.042

***

4
Lattice="-0.406 -0.553 5.323 -0.509 4.339 3.117 -4.665 1.009 2.455" Properties=species:S:1:pos:R:3 comment="PBE-GGA Ca2YPd, relaxed" crystal_system=cubic delta_e_f_ev_per_atom=0.03 relative_energy_mev_per_atom=164 sg="Fm-3m, No. 225" pbc="T T T"
Ca -4.185 3.596 8.171
Ca -1.395 1.199 2.724
Pd -2.790 2.397 5.447
Y 0.000 0.000 0.000

***

18
Lattice="-3.793 2.966 3.301 -0.736 -4.703 3.381 6.168 2.509 4.832" Properties=species:S:1:pos:R:3 comment="PBE-GGA Sc2PRh6, relaxed" crystal_system=tetragonal delta_e_f_ev_per_atom=-0.81 relative_energy_mev_per_atom=0 sg="I4/mmm, No. 139" pbc="T T T"
Rh -1.056 -0.406 1.559
Rh 0.107 2.176 5.738
Rh 4.731 1.925 3.708
Rh 4.718 -0.404 8.195
Rh 2.256 0.970 6.882
Rh -3.079 1.177 3.319
Rh 2.695 1.178 9.954
Rh 1.532 -1.404 5.776
Rh -0.237 -0.018 7.316
Rh -3.092 -1.152 7.806
Rh -0.617 -0.197 4.632
Rh 1.877 0.791 4.198
P -2.264 -0.868 3.341
P 3.084 1.254 2.416
Sc -1.090 -2.592 6.238
Sc 1.174 -1.723 2.899
Sc 0.465 2.496 8.615
Sc 2.729 3.365 5.275

***

10
Lattice="3.581 0.000 0.000 0.000 3.581 0.000 0.000 0.000 17.803" Properties=species:S:1:pos:R:3 comment="PBE-GGA Li4NdTl5, relaxed" crystal_system=tetragonal delta_e_f_ev_per_atom=-0.25 sg="P4/mmm, No. 123" pbc="T T T"
Tl 1.790 1.790 12.292
Tl 1.790 1.790 5.511
Tl 1.790 1.790 2.231
Tl 1.790 1.790 15.573
Tl 1.790 1.790 8.902
Li 0.000 0.000 13.953
Li 0.000 0.000 10.613
Li 0.000 0.000 7.190
Li 0.000 0.000 3.850
Nd 0.000 0.000 0.000

***

4
Lattice="-4.123 -0.500 -4.385 0.697 -4.140 -4.343 -3.637 -4.818 -0.191" Properties=species:S:1:pos:R:3 comment="PBE-GGA Ac2NdDy, relaxed" crystal_system=cubic delta_e_f_ev_per_atom=0.11 relative_energy_mev_per_atom=72 sg="Fm-3m, No. 225" pbc="T T T"
Ac -1.766 -2.364 -2.230
Ac -5.298 -7.093 -6.689
Dy 0.000 0.000 0.000
Nd -3.532 -4.729 -4.460

***

5
Lattice="-0.633 -0.334 5.289 5.279 -0.510 0.600 0.466 5.283 0.389" Properties=species:S:1:pos:R:3 comment="PBE-GGA CaCrAs2Se, relaxed" formation_energy_uncorrected_ev_per_atom=0.792 crystal_system=tetragonal relative_energy_mev_per_atom=1155 sg="P4/mmm, No. 123" pbc="T T T"
As 2.639 -0.255 0.300
As -0.317 -0.167 2.644
Se 0.233 2.642 0.195
Ca 0.000 0.000 0.000
Cr 2.556 2.220 3.139

***

6
Lattice="3.308 -5.128 -2.064 -2.849 -5.771 -0.283 -1.378 -2.635 -5.715" Properties=species:S:1:pos:R:3 comment="PBE-GGA SrSbTe4, relaxed" formation_energy_uncorrected_ev_per_atom=-0.065 crystal_system=cubic sg="F-43m, No. 216" pbc="T T T"
Te -0.345 -5.079 -3.025
Te -1.032 -6.394 -5.877
Te 1.306 -7.637 -4.055
Te -1.766 -7.958 -3.166
Sr 0.000 0.000 0.000
Sb -0.689 -10.150 -6.046